The following is a DFT calculation (PBE) of an optimized crystal structure of Ba2Ga2SnO6.

Unit cell a=5.9705 b=5.9705 c=6.8505 alpha=64.17 beta=64.17 gamma=60.00
Element x y z (fractional)
1 Ba 0.7777 0.7777 0.6668
2 Ba 0.2223 0.2223 0.3332
3 Ga 0.4338 0.4338 0.6985
4 Ga 0.5662 0.5662 0.3015
5 Sn 0.0000 0.0000 0.0000
6 O 0.7686 0.7686 0.2220
7 O 0.2408 0.7686 0.2220
8 O 0.7686 0.2408 0.2220
9 O 0.2314 0.7592 0.7780
10 O 0.7592 0.2314 0.7780
11 O 0.2314 0.2314 0.7780

Calculated values
Calculated total energy in eV per atom: -5.93
Symmetry: No. 166

The following is a DFT calculation (PBE) of an optimized crystal structure of Sr3NbN3.

Unit cell a=7.9721 b=7.9721 c=5.4992 alpha=90.00 beta=90.00 gamma=120.00
Element x y z (fractional)
1 Sr 0.8823 0.6437 0.2500
2 Sr 0.7614 0.1177 0.2500
3 Sr 0.3563 0.2386 0.2500
4 Sr 0.1177 0.3563 0.7500
5 Sr 0.2386 0.8823 0.7500
6 Sr 0.6437 0.7614 0.7500
7 Nb 0.6667 0.3333 0.7500
8 Nb 0.3333 0.6667 0.2500
9 N 0.8644 0.6091 0.7500
10 N 0.7447 0.1356 0.7500
11 N 0.3909 0.2553 0.7500
12 N 0.1356 0.3909 0.2500
13 N 0.2553 0.8644 0.2500
14 N 0.6091 0.7447 0.2500

Calculated values
Calculated total energy in eV per atom: -6.57
Symmetry: No. 176

The following is a DFT calculation (PBE) of an optimized crystal structure of Na2SrCl4.

Unit cell a=5.6518 b=5.6518 c=8.4653 alpha=109.50 beta=109.50 gamma=90.00
Element x y z (fractional)
1 Sr 0.0000 0.0000 0.0000
2 Na 0.6395 0.6395 0.2790
3 Na 0.3605 0.3605 0.7210
4 Cl 0.8116 0.8116 0.6232
5 Cl 0.1884 0.1884 0.3768
6 Cl 0.0000 0.5000 0.0000
7 Cl 0.5000 0.0000 0.0000

Calculated values
Calculated total energy in eV per atom: -3.57
Symmetry: No. 139
Energy above the most stable polymorph in this dataset in kcal/mol of atoms: 4.10

The following is a DFT calculation (PBE) of an optimized crystal structure of Sc3AuN.

Unit cell a=8.2873 b=8.2873 c=8.2873 alpha=60.00 beta=60.00 gamma=60.00
Last column: magnetic moment on the atom in μB.
Element x y z (fractional)
1 Sc 0.8092 0.1908 0.1908  0.23
2 Sc 0.0592 0.4408 0.4408  0.24
3 Sc 0.4408 0.4408 0.0592  0.22
4 Sc 0.4408 0.0592 0.0592  0.23
5 Sc 0.0592 0.4408 0.0592  0.23
6 Sc 0.8092 0.1908 0.8092  0.23
7 Sc 0.4408 0.0592 0.4408  0.23
8 Sc 0.0592 0.0592 0.4408  0.28
9 Sc 0.1908 0.8092 0.1908  0.23
10 Sc 0.1908 0.8092 0.8092  0.24
11 Sc 0.1908 0.1908 0.8092  0.28
12 Sc 0.8092 0.8092 0.1908  0.22
13 Au 0.6250 0.6250 0.6250  0.02
14 Au 0.6250 0.1250 0.6250  0.01
15 Au 0.1250 0.6250 0.6250  -0.01
16 Au 0.6250 0.6250 0.1250  0.02
17 N 0.1250 0.1250 0.1250  -0.04
18 N 0.1250 0.6250 0.1250  -0.04
19 N 0.6250 0.1250 0.1250  -0.04
20 N 0.1250 0.1250 0.6250  -0.04

Calculated values
Calculated total energy in eV per atom: -6.79
Symmetry: No. 227

The following is a DFT calculation (PBE) of an optimized crystal structure of AgTeCl2.

Unit cell a=3.4254 b=3.4254 c=8.4754 alpha=90.00 beta=90.00 gamma=90.00
Element x y z (fractional)
1 Te 0.0000 0.0000 0.5261
2 Ag 0.5000 0.5000 0.7541
3 Cl 0.0000 0.0000 0.9141
4 Cl 0.5000 0.5000 0.3057

Calculated values
Calculated total energy in eV per atom: -2.47
Symmetry: No. 99
Energy above the most stable polymorph in this dataset in kcal/mol of atoms: 6.77

Among the records above, which one has the lowest calculated total energy? Sc3AuN

Among the records above, which one has the lowest calculated total energy? Sc3AuN